Below is a geometry-optimized KCu3F structure, with properties calculated at the PBE level.

Properties
The calculation puts the theoretical density at 2.8 g/cm3. The value obtained for the density of states at the Fermi level is 5.15 states/eV/cell. For the raw formation energy, the calculation gives 135 kJ per mole of atoms. Its excess energy over the best structure of this formula in the dataset is 1113 meV per atom. Its total DFT energy (no corrections) is -1.65 eV per atom.

Cell lengths 5.299, 5.299, 5.299 Å; angles 90.00, 90.00, 90.00 degrees
Space group Pm-3m (No. 221)
Asymmetric unit:
K 0.000 0.000 0.000 x1
Cu 0.000 0.000 0.500 x3
F 0.500 0.500 0.500 x1

Below is a geometry-optimized KSr2H6Ru structure, with properties calculated at the PBE level.

Properties
The calculation puts the theoretical density at 3.0 g/cm3. The value obtained for the density of states at the Fermi level is 1.37 states/eV/cell. Its total DFT energy (no corrections) is -3.82 eV per atom.

Cell lengths 5.2380, 5.2380, 7.3934 Å; angles 90.00, 90.00, 120.00 degrees
Space group P-3m1 (No. 164)
Asymmetric unit:
K 0.0000 0.0000 0.0000 x1
Sr 0.3333 0.6667 0.6438 x2
H 0.1547 0.3093 0.3630 x6
Ru 0.0000 0.0000 0.5000 x1

Below is a geometry-optimized DyBi2PdO6 structure, with properties calculated at the PBE level.

Properties
The calculation puts the theoretical density at 8.6 g/cm3. For the raw formation energy, the calculation gives -144 kJ per mole of atoms. Its total DFT energy (no corrections) is -6.23 eV per atom.

Cell lengths 5.708, 5.982, 6.003 Å; angles 119.00, 117.71, 90.13 degrees
Space group P1 (No. 1)
Asymmetric unit:
Dy 0.000 0.000 0.000 x1
Bi 0.271 0.836 0.556 x1
Bi 0.794 0.353 0.572 x1
Pd 0.488 0.463 0.963 x1
O 0.133 0.166 0.473 x1
O 0.193 0.656 0.011 x1
O 0.350 0.180 0.014 x1
O 0.626 0.682 0.837 x1
O 0.717 0.216 0.854 x1
O 0.865 0.690 0.499 x1

Below is a geometry-optimized HfBeS3 structure, with properties calculated at the PBE level.

Properties
The calculation puts the theoretical density at 4.0 g/cm3. The value obtained for the density of states at the Fermi level is 2.35 states/eV/cell. For the raw formation energy, the calculation gives -2 kJ per mole of atoms. Its excess energy over the best structure of this formula in the dataset is 241 meV per atom. Its total DFT energy (no corrections) is -5.23 eV per atom.

Cell lengths 4.902, 4.902, 4.902 Å; angles 90.00, 90.00, 90.00 degrees
Space group Pm-3m (No. 221)
Asymmetric unit:
Hf 0.000 0.000 0.000 x1
Be 0.500 0.500 0.500 x1
S 0.000 0.000 0.500 x3

Below is a geometry-optimized LiCuSn6 structure, with properties calculated at the PBE level.

Properties
The calculation puts the theoretical density at 6.5 g/cm3. The value obtained for the density of states at the Fermi level is 6.68 states/eV/cell. The formation energy comes out at 0.019 eV per atom. Its total DFT energy (no corrections) is -3.73 eV per atom.

Cell lengths 6.235, 10.913, 6.166 Å; angles 90.00, 106.63, 90.00 degrees
Space group C2/m (No. 12)
Asymmetric unit:
Li 0.000 0.000 0.000 x2
Cu 0.000 0.000 0.500 x2
Sn 0.062 0.219 0.761 x8
Sn 0.063 0.500 0.265 x4

Below is a geometry-optimized Rb2ZrGaI6 structure, with properties calculated at the PBE level.

Properties
The calculation puts the theoretical density at 3.9 g/cm3. The value obtained for the density of states at the Fermi level is 26.82 states/eV/cell. For the raw formation energy, the calculation gives -94 kJ per mole of atoms. Its excess energy over the best structure of this formula in the dataset is 0 meV per atom. Its total DFT energy (no corrections) is -3.26 eV per atom.

Cell lengths 8.4876, 8.4876, 44.9777 Å; angles 90.00, 90.00, 120.00 degrees
Space group R-3m (No. 166, hexagonal axes)
Asymmetric unit:
Rb 0.0000 0.0000 0.1325 x6
Rb 0.0000 0.0000 0.3069 x6
Zr 0.0000 0.0000 0.0000 x3
Zr 0.0000 0.0000 0.5000 x3
Ga 0.0000 0.0000 0.4211 x6
I 0.0036 0.5018 0.8696 x18
I 0.0104 0.5052 0.7046 x18

Below is a geometry-optimized BaYRh structure, with properties calculated at the PBE level.

Properties
The calculation puts the theoretical density at 5.9 g/cm3. The value obtained for the density of states at the Fermi level is 4.48 states/eV/cell. The formation energy comes out at -0.307 eV per atom. Its excess energy over the best structure of this formula in the dataset is 105 meV per atom. Its total DFT energy (no corrections) is -5.55 eV per atom.

Cell lengths 3.617, 3.617, 14.214 Å; angles 90.00, 90.00, 90.00 degrees
Space group I4mm (No. 107)
Asymmetric unit:
Ba 0.000 0.000 0.000 x2
Y 0.000 0.000 0.251 x2
Rh 0.000 0.000 0.658 x2

Below is a geometry-optimized ScMnHgBi2 structure, with properties calculated at the PBE level.

Properties
The calculation puts the theoretical density at 6.9 g/cm3. The value obtained for the density of states at the Fermi level is 2.58 states/eV/cell. The formation energy comes out at 0.548 eV per atom. Its total DFT energy (no corrections) is -4.16 eV per atom.

Cell lengths 5.575, 5.575, 5.535 Å; angles 90.00, 90.00, 90.00 degrees
Space group P4/mmm (No. 123)
Asymmetric unit:
Sc 0.000 0.000 0.000 x1
Mn 0.500 0.500 0.500 x1
Hg 0.000 0.000 0.500 x1
Bi 0.000 0.500 0.000 x2

> What is the formula in the eighth record?

ScMnHgBi2